No. 1
The following is a PBE calculation of a relaxed TaSn crystal, from Alexandria via LeMat-Bulk.

Cell lengths 8.573, 8.573, 8.573 Å; angles 90.00, 90.00, 90.00 degrees
Element x y z (fractional)
Ta 0.387 0.387 0.387
Ta 0.387 0.613 0.613
Ta 0.613 0.387 0.613
Ta 0.613 0.613 0.387
Ta 0.887 0.887 0.887
Ta 0.887 0.113 0.113
Ta 0.113 0.887 0.113
Ta 0.113 0.113 0.887
Sn 0.200 0.200 0.200
Sn 0.200 0.800 0.800
Sn 0.800 0.200 0.800
Sn 0.800 0.800 0.200
Sn 0.700 0.700 0.700
Sn 0.700 0.300 0.300
Sn 0.300 0.700 0.300
Sn 0.300 0.300 0.700

Results
space group	I-43m, No. 217
raw total energy	-0.25398	Ha/atom
formation energy from the elements	1.02	eV per atom

---

No. 2
The following is a PBE calculation of a relaxed TaSn crystal, from Alexandria via LeMat-Bulk.

Cell lengths 11.491, 11.491, 3.319 Å; angles 90.00, 90.00, 90.00 degrees
Element x y z (fractional)
Ta 0.325 0.201 0.000
Ta 0.675 0.799 0.000
Ta 0.799 0.325 0.000
Ta 0.201 0.675 0.000
Ta 0.825 0.701 0.500
Ta 0.175 0.299 0.500
Ta 0.299 0.825 0.500
Ta 0.701 0.175 0.500
Sn 0.454 0.686 0.000
Sn 0.546 0.314 0.000
Sn 0.314 0.454 0.000
Sn 0.686 0.546 0.000
Sn 0.954 0.186 0.500
Sn 0.046 0.814 0.500
Sn 0.814 0.954 0.500
Sn 0.186 0.046 0.500

Results
space group	I4/m, No. 87
raw total energy	-0.26510	Ha/atom
formation energy from the elements	0.71	eV per atom

---

No. 3
The following is a PBE calculation of a relaxed TaSn2 crystal, from Alexandria via LeMat-Bulk.

Cell lengths 3.670, 3.670, 5.342 Å; angles 110.12, 110.12, 90.00 degrees
Element x y z (fractional)
Sn 0.161 0.161 0.321
Sn 0.839 0.839 0.679
Ta 0.500 0.500 0.000

Results
space group	I4/mmm, No. 139
raw total energy	-0.23992	Ha/atom
formation energy from the elements	0.09	eV per atom

---

No. 4
The following is a PBE calculation of a relaxed TaSn2 crystal, from Alexandria via LeMat-Bulk.

Cell lengths 10.914, 10.148, 5.677 Å; angles 81.98, 67.02, 31.00 degrees
Element x y z (fractional)
Ta 0.372 0.372 0.628
Ta 0.622 0.622 0.878
Ta 0.878 0.878 0.622
Ta 0.628 0.628 0.372
Sn 0.918 0.582 0.918
Sn 0.668 0.332 0.668
Sn 0.329 0.329 0.171
Sn 0.582 0.918 0.582
Sn 0.079 0.079 0.921
Sn 0.171 0.171 0.329
Sn 0.332 0.668 0.332
Sn 0.921 0.921 0.079

Results
space group	Fddd, No. 70
raw total energy	-0.24386	Ha/atom
formation energy from the elements	-0.02	eV per atom

---

No. 5
The following is a PBE calculation of a relaxed TaSn2 crystal, from Alexandria via LeMat-Bulk.

Cell lengths 5.374, 5.374, 5.693 Å; angles 103.87, 103.87, 119.47 degrees
Element x y z (fractional)
Sn 0.333 0.667 0.000
Sn 0.083 0.917 0.500
Sn 0.667 0.333 0.000
Sn 0.417 0.583 0.500
Ta 0.750 0.250 0.500
Ta 0.000 0.000 0.000

Results
space group	Fddd, No. 70
raw total energy	-0.23768	Ha/atom
formation energy from the elements	0.15	eV per atom

---

No. 6
The following is a PBE calculation of a relaxed TaSn crystal, from Alexandria via LeMat-Bulk.

Cell lengths 4.527, 8.899, 6.669 Å; angles 90.00, 90.00, 90.00 degrees
Element x y z (fractional)
Ta 0.000 0.320 0.969
Ta 0.000 0.680 0.969
Ta 0.000 0.820 0.469
Ta 0.000 0.180 0.469
Ta 0.500 0.000 0.427
Ta 0.500 0.500 0.927
Sn 0.500 0.818 0.771
Sn 0.500 0.182 0.771
Sn 0.500 0.318 0.271
Sn 0.500 0.682 0.271
Sn 0.000 0.000 0.094
Sn 0.000 0.500 0.594

Results
space group	Amm2, No. 38
raw total energy	-0.28314	Ha/atom
formation energy from the elements	0.22	eV per atom

---

No. 7
The following is a PBE calculation of a relaxed TaSn2 crystal, from Alexandria via LeMat-Bulk.

Cell lengths 5.583, 5.664, 5.664 Å; angles 75.94, 60.47, 60.47 degrees
Element x y z (fractional)
Ta 0.250 0.000 0.000
Ta 0.750 0.000 0.000
Sn 0.842 0.500 0.815
Sn 0.158 0.500 0.185
Sn 0.342 0.815 0.500
Sn 0.658 0.185 0.500

Results
space group	I4/mcm, No. 140
raw total energy	-0.24280	Ha/atom
formation energy from the elements	0.01	eV per atom

---

No. 8
The following is a PBE calculation of a relaxed TaSn crystal, from Alexandria via LeMat-Bulk.

Cell lengths 6.240, 8.722, 5.913 Å; angles 90.00, 90.00, 90.00 degrees
Element x y z (fractional)
Ta 0.250 0.250 0.250
Ta 0.250 0.750 0.750
Ta 0.750 0.750 0.750
Ta 0.750 0.250 0.250
Ta 0.000 0.000 0.500
Ta 0.000 0.500 0.500
Ta 0.500 0.500 0.000
Ta 0.500 0.000 0.000
Sn 0.250 0.250 0.750
Sn 0.250 0.750 0.250
Sn 0.750 0.750 0.250
Sn 0.750 0.250 0.750
Sn 0.000 0.000 0.000
Sn 0.000 0.500 0.000
Sn 0.500 0.500 0.500
Sn 0.500 0.000 0.500

Results
space group	Imma, No. 74
raw total energy	-0.28161	Ha/atom
formation energy from the elements	0.26	eV per atom

---

No. 9
The following is a PBE calculation of a relaxed Ta3Sn crystal, from Alexandria via LeMat-Bulk.

Cell lengths 4.262, 4.262, 5.162 Å; angles 114.38, 114.38, 90.00 degrees
Element x y z (fractional)
Sn 0.000 0.000 0.000
Ta 0.750 0.250 0.500
Ta 0.250 0.750 0.500
Ta 0.500 0.500 0.000

Results
space group	I4/mmm, No. 139
relative energy among the computed polymorphs	12.18	kJ/mol of atoms
raw total energy	-0.36017	Ha/atom
formation energy from the elements	0.09	eV per atom

---

No. 10
The following is a PBE calculation of a relaxed TaSn crystal, from Alexandria via LeMat-Bulk.

Cell lengths 6.317, 6.317, 6.317 Å; angles 90.00, 90.00, 90.00 degrees
Element x y z (fractional)
Ta 0.000 0.000 0.000
Ta 0.000 0.500 0.500
Ta 0.500 0.000 0.500
Ta 0.500 0.500 0.000
Sn 0.250 0.250 0.250
Sn 0.250 0.750 0.750
Sn 0.750 0.250 0.750
Sn 0.750 0.750 0.250

Results
space group	F-43m, No. 216
raw total energy	-0.23347	Ha/atom
formation energy from the elements	1.57	eV per atom

---

No. 11
The following is a PBE calculation of a relaxed TaSn crystal, from Alexandria via LeMat-Bulk.

Cell lengths 5.622, 5.622, 5.599 Å; angles 90.00, 90.00, 90.00 degrees
Element x y z (fractional)
Ta 0.300 0.300 0.000
Ta 0.800 0.200 0.500
Ta 0.200 0.800 0.500
Ta 0.700 0.700 0.000
Sn 0.204 0.796 0.000
Sn 0.704 0.704 0.500
Sn 0.296 0.296 0.500
Sn 0.796 0.204 0.000

Results
space group	P4_2/mnm, No. 136
raw total energy	-0.26769	Ha/atom
formation energy from the elements	0.64	eV per atom

---

No. 12
The following is a PBE calculation of a relaxed TaSn crystal, from Alexandria via LeMat-Bulk.

Cell lengths 7.789, 7.789, 7.789 Å; angles 90.00, 90.00, 90.00 degrees
Element x y z (fractional)
Ta 0.250 0.500 0.000
Ta 0.750 0.500 0.000
Ta 0.500 0.000 0.250
Ta 0.500 0.000 0.750
Ta 0.000 0.250 0.500
Ta 0.000 0.750 0.500
Sn 0.250 0.000 0.500
Sn 0.750 0.000 0.500
Sn 0.000 0.500 0.250
Sn 0.000 0.500 0.750
Sn 0.500 0.250 0.000
Sn 0.500 0.750 0.000

Results
space group	Pm-3n, No. 223
raw total energy	-0.22906	Ha/atom
formation energy from the elements	1.69	eV per atom

---

- Which value of formation energy from the elements does entry 6 give?
  0.22 eV per atom